[1]
This record from Alexandria describes BeAs2PtSe after structural relaxation. The functional is GGA-PBEsol.

Cell: 4.3191 4.3191 4.4462 Å, 90.00 90.00 90.00°
Sites, in units of the cell vectors:
Be: 0.0000 0.0000 0.0000
As: 0.0000 0.5000 0.0000
As: 0.5000 0.0000 0.0000
Pt: 0.5000 0.5000 0.5000
Se: 0.0000 0.0000 0.5000

Calculated values
The space group is P4/mmm (123). For the total energy, the calculation gives -22.2 eV per cell.

[2]
This record from Alexandria describes Mg2AsPb after structural relaxation. The functional is GGA-PBEsol.

Cell: 6.4906 6.4906 6.4906 Å, 146.41 142.32 51.35°
Sites, in units of the cell vectors:
Mg: 0.0000 0.0000 0.0000
Mg: 0.7006 0.2006 0.5000
As: 0.5262 0.5262 0.0000
Pb: 0.3015 0.8015 0.5000

Calculated values
The space group is Imm2 (44). The calculation puts the calculated formation energy at -0.18 eV per atom.

[3]
This record from Alexandria describes LaWSeBr2 after structural relaxation. The functional is GGA-PBEsol.

Cell: 5.6176 5.6176 5.8156 Å, 90.00 90.00 90.00°
Sites, in units of the cell vectors:
La: 0.0000 0.0000 0.0000
W: 0.5000 0.5000 0.5000
Se: 0.0000 0.0000 0.5000
Br: 0.0000 0.5000 0.0000
Br: 0.5000 0.0000 0.0000

Calculated values
The space group is P4/mmm (123). For the total energy, the calculation gives -24.7 eV per cell.

[4]
This record from Alexandria describes Rb2PrI5 after structural relaxation. The functional is GGA-PBEsol.

Cell: 14.4153 9.9153 9.2048 Å, 90.00 90.00 90.00°
Sites, in units of the cell vectors:
Rb: 0.1712 0.0080 0.0769
Rb: 0.1712 0.4920 0.0769
Rb: 0.3288 0.5080 0.5769
Rb: 0.3288 0.9920 0.5769
Rb: 0.6712 0.0080 0.4231
Rb: 0.6712 0.4920 0.4231
Rb: 0.8288 0.5080 0.9231
Rb: 0.8288 0.9920 0.9231
Pr: 0.0071 0.2500 0.5806
Pr: 0.4929 0.7500 0.0806
Pr: 0.5071 0.2500 0.9194
Pr: 0.9929 0.7500 0.4194
I: 0.0076 0.2500 0.9272
I: 0.0673 0.5483 0.6741
I: 0.0673 0.9517 0.6741
I: 0.1884 0.2500 0.3893
I: 0.2065 0.7500 0.3523
I: 0.2935 0.2500 0.8523
I: 0.3116 0.7500 0.8893
I: 0.4327 0.0483 0.1741
I: 0.4327 0.4517 0.1741
I: 0.4924 0.7500 0.4272
I: 0.5076 0.2500 0.5728
I: 0.5673 0.5483 0.8259
I: 0.5673 0.9517 0.8259
I: 0.6884 0.2500 0.1107
I: 0.7065 0.7500 0.1477
I: 0.7935 0.2500 0.6477
I: 0.8116 0.7500 0.6107
I: 0.9327 0.0483 0.3259
I: 0.9327 0.4517 0.3259
I: 0.9924 0.7500 0.0728

Calculated values
The space group is Pnma (62). For the total energy, the calculation gives -111.6 eV per cell.